--- one ---
A plane-wave DFT calculation with PBE was carried out for an optimized crystal structure of NaAcEu.

Unit cell a=3.868 b=3.868 c=8.926 alpha=102.52 beta=102.52 gamma=90.00
Fractional positions:
Eu: 0.666 0.666 0.332
Na: 0.001 0.001 0.002
Ac: 0.333 0.333 0.666

As for the mass density: 5.250 Mg/m³.

=====

--- two ---
A plane-wave DFT calculation with PBE was carried out for an optimized crystal structure of NaAcEu.

Unit cell a=3.905 b=3.905 c=9.721 alpha=90.00 beta=90.00 gamma=120.00
Fractional positions:
Eu: 0.333 0.667 0.663
Na: 0.000 0.000 0.000
Ac: 0.667 0.333 0.337

As for the mass density: 5.199 Mg/m³.

=====

Stability check: which of them is most stable? two.

=====

--- one ---
A plane-wave DFT calculation with PBE was carried out for an optimized crystal structure of AcEuO2.

Unit cell a=3.683 b=3.683 c=6.450 alpha=73.41 beta=73.41 gamma=60.00
Fractional positions:
Eu: 0.000 0.000 0.000
Ac: 0.500 0.500 0.500
O: 0.745 0.745 0.766
O: 0.255 0.255 0.234

As for the mass density: 9.538 Mg/m³.

=====

--- two ---
A plane-wave DFT calculation with PBE was carried out for an optimized crystal structure of AcEuO2.

Unit cell a=3.231 b=4.520 c=4.520 alpha=90.00 beta=90.00 gamma=90.00
Fractional positions:
Eu: 0.500 0.000 0.000
Ac: 0.500 0.500 0.500
O: 0.000 0.000 0.500
O: 0.000 0.500 0.000

As for the mass density: 10.341 Mg/m³.

=====

Stability check: which of them is most stable? one.

=====

--- one ---
A plane-wave DFT calculation with PBE was carried out for an optimized crystal structure of AcEuP.

Unit cell a=4.246 b=4.246 c=7.163 alpha=90.00 beta=90.00 gamma=120.00
Fractional positions:
Eu: 0.000 0.000 0.099
P: 0.667 0.333 0.329
Ac: 0.333 0.667 0.572

As for the mass density: 6.087 Mg/m³.

=====

--- two ---
A plane-wave DFT calculation with PBE was carried out for an optimized crystal structure of AcEuP.

Unit cell a=5.105 b=5.105 c=5.105 alpha=60.00 beta=60.00 gamma=60.00
Fractional positions:
Eu: 0.500 0.500 0.500
P: 0.250 0.250 0.250
Ac: 0.000 0.000 0.000

As for the mass density: 7.238 Mg/m³.

=====

Stability check: which of them is most stable? one.